The following is a SCAN calculation of a PBEsol-optimized structure of FeSeN2F, from Alexandria.

Calculated values
**Crystal system**: tetragonal
**Space group**: P4/mmm

Structure (extended XYZ):
```
5
Lattice="-0.192 3.192 1.298 -2.011 0.952 -2.639 -4.110 -1.326 2.653" Properties=species:S:1:pos:R:3 pbc="T T T"
Fe 0.000 0.000 0.000
F -3.156 1.409 0.656
Se -2.055 -0.663 1.327
N -0.096 1.596 0.649
N -1.005 0.476 -1.319
```

---

The following is a SCAN calculation of a PBEsol-optimized structure of FeTcNF2, from Alexandria.

Calculated values
**Crystal system**: tetragonal
**Space group**: P4/mmm

Structure (extended XYZ):
```
5
Lattice="-3.213 2.123 -0.161 -1.367 -2.280 -2.791 -1.614 -2.243 2.622" Properties=species:S:1:pos:R:3 pbc="T T T"
Tc -3.097 -1.200 -0.165
F -1.606 1.062 -0.081
F -0.683 -1.140 -1.396
Fe 0.000 0.000 0.000
N -0.807 -1.121 1.311
```

---

The following is a SCAN calculation of a PBEsol-optimized structure of ZnFeNF2, from Alexandria.

Calculated values
**Crystal system**: tetragonal
**Space group**: P4/mmm

Structure (extended XYZ):
```
5
Lattice="-1.584 3.336 0.757 -2.970 -0.927 -2.128 -1.844 -1.620 3.279" Properties=species:S:1:pos:R:3 pbc="T T T"
F -0.792 1.668 0.379
F -1.485 -0.463 -1.064
Fe -3.199 0.394 0.954
Zn 0.000 0.000 0.000
N -0.922 -0.810 1.640
```

---

The following is a SCAN calculation of a PBEsol-optimized structure of ZrFeNF2, from Alexandria.

Calculated values
**Crystal system**: tetragonal
**Space group**: P4/mmm

Structure (extended XYZ):
```
5
Lattice="-0.630 3.609 0.861 -3.665 -0.742 0.428 0.597 -0.789 3.745" Properties=species:S:1:pos:R:3 pbc="T T T"
F -0.315 1.805 0.431
F -1.833 -0.371 0.214
Fe 0.000 0.000 0.000
N 0.299 -0.395 1.872
Zr -1.849 1.039 2.517
```

---

The following is a SCAN calculation of a PBEsol-optimized structure of Na8Fe6P6O24F9, from Alexandria.

Calculated values
**Crystal system**: monoclinic
**Space group**: C2/m

Structure (extended XYZ):
```
53
Lattice="-4.210 -5.025 -2.548 7.108 -5.378 -1.139 -3.871 0.113 10.754" Properties=species:S:1:pos:R:3 pbc="T T T"
F 1.219 -7.156 5.955
F -3.714 -6.431 7.186
F 2.741 -3.859 -0.119
F -1.606 -3.387 5.971
F 0.633 -6.902 1.097
F 2.758 -4.925 5.019
F -2.192 -3.133 1.112
F 0.000 0.000 0.000
F -3.730 -5.365 2.048
O -1.047 -5.323 7.633
O 0.478 -1.932 1.727
O -5.646 -4.086 8.764
O -1.855 -5.870 5.040
O 0.882 -4.420 2.028
O 1.198 -8.912 2.745
O -1.081 -7.188 3.110
O -1.773 -7.680 0.492
O -4.081 -4.186 5.396
O -3.246 -3.659 7.985
O -0.281 -2.455 -0.903
O -1.451 -8.358 5.341
O 5.505 -5.735 0.921
O 0.108 -3.102 3.957
O -0.692 -7.834 7.970
O 0.800 -2.609 6.576
O 0.381 -9.310 0.147
O 3.108 -6.104 1.671
O 0.074 -4.967 -0.565
O 4.673 -6.203 -1.697
O -1.353 -0.980 6.921
O 2.273 -6.631 -0.918
O -2.171 -1.377 4.322
O -6.478 -4.555 6.146
Fe -1.096 -1.583 0.631
Fe -0.536 -1.829 5.292
Fe -2.709 -4.970 6.562
Fe 1.736 -5.319 0.505
Fe 0.124 -8.707 6.437
Fe -0.437 -8.461 1.775
P -0.333 -3.853 -1.558
P 4.533 -5.714 2.113
P 3.231 -6.550 -2.129
P -1.954 -7.262 4.385
P 0.981 -3.027 2.682
P -5.505 -4.576 4.954
Na -0.120 -7.375 -1.374
Na -0.853 -2.915 8.441
Na 0.299 -4.970 5.359
Na -3.707 -1.940 6.001
Na -3.545 -4.603 -0.390
Na 2.572 -5.686 7.457
Na 2.734 -8.350 1.066
Na -1.272 -5.319 1.708
```

---

The following is a SCAN calculation of a PBEsol-optimized structure of Na2FeSO4F3, from Alexandria.

Calculated values
**Crystal system**: monoclinic
**Space group**: P2_1/m

Structure (extended XYZ):
```
22
Lattice="-3.969 3.209 2.460 -0.083 -6.384 2.672 4.897 2.098 5.165" Properties=species:S:1:pos:R:3 pbc="T T T"
Fe 2.448 1.049 2.583
Fe 0.000 0.000 0.000
S 3.491 -2.274 5.609
S -2.647 1.197 4.688
F -0.141 4.135 6.449
F 0.985 -5.212 3.848
F -2.609 -3.358 3.885
F 3.453 2.281 6.413
F -0.204 -2.328 6.421
F 1.048 1.250 3.876
O -1.675 2.288 5.066
O 2.519 -3.365 5.231
O 4.121 -2.679 6.920
O 0.569 1.025 7.039
O 0.275 -2.102 3.258
O -1.897 -0.033 4.477
O -3.276 1.602 3.377
O 2.741 -1.044 5.820
Na -2.026 -1.588 2.566
Na 1.448 2.843 5.467
Na -0.604 -3.921 4.830
Na 0.422 -0.539 5.149
```

---

The following is a SCAN calculation of a PBEsol-optimized structure of NaFeSO4F, from Alexandria.

Calculated values
**Crystal system**: monoclinic
**Space group**: C2/c

Structure (extended XYZ):
```
16
Lattice="-1.166 -0.578 -5.296 3.300 -4.176 1.189 -6.180 -1.576 3.382" Properties=species:S:1:pos:R:3 pbc="T T T"
O -1.443 -4.928 1.519
O -3.174 -4.219 3.105
O -2.604 -1.401 -2.244
O -2.609 -2.823 1.173
O -0.247 -1.448 -1.575
O -3.799 -4.881 0.850
O -0.872 -2.111 -3.830
O -1.437 -3.507 -1.898
S -1.297 -2.111 -2.396
S -2.750 -4.218 1.671
Na 0.246 -3.354 -0.157
Na -4.292 -2.975 -0.568
Fe -3.090 -0.788 1.691
Fe 0.000 0.000 0.000
F 1.376 -4.264 1.484
F -5.422 -2.065 -2.209
```

---

The following is a SCAN calculation of a PBEsol-optimized structure of Rb2NaFeF6, from Alexandria.

Calculated values
**Crystal system**: cubic
**Space group**: Fm-3m

Structure (extended XYZ):
```
10
Lattice="-5.336 -2.321 -0.721 -0.596 -5.241 -2.562 -1.629 -4.650 3.180" Properties=species:S:1:pos:R:3 pbc="T T T"
F -2.598 -5.305 1.724
F -4.636 -4.026 -0.419
F -2.926 -8.186 0.316
F -5.531 -6.581 1.328
F -4.963 -6.906 -1.827
F -2.030 -5.630 -1.431
Na -3.781 -6.106 -0.052
Rb -5.671 -9.159 -0.077
Rb -1.890 -3.053 -0.026
Fe 0.000 0.000 0.000
```

---

Formation energy (no corrections)
In order: 0.68; -0.35; -0.44; -1.10; -2.41; -2.25; -1.94; -2.78
Unit: eV per atom
Total energy
In order: -11.39; -14.26; -10.05; -14.14; -9.70; -8.77; -9.49; -11.28
Unit: eV/atom